Here is SrTa2Bi2O9 after structural relaxation from Alexandria via LeMat-Bulk. Energies are from PBE.

a = 30.511 Å, b = 5.611 Å, c = 5.598 Å
α = 90.00°, β = 90.00°, γ = 90.00°
Space group Cmc2_1 (No. 36)
Unique sites:
Sr1 0.000 0.246 0.000 x4
Ta1 0.068 0.252 0.500 x8
Bi1 0.198 0.273 0.539 x8
O1 0.000 0.214 0.501 x4
O2 0.057 0.499 0.250 x8
O3 0.067 0.001 0.751 x8
O4 0.130 0.304 0.501 x8
O5 0.215 0.384 0.185 x8

Summary:
- DFT total energy (eV per atom) = -7.87